[1]
Tb16Nd6Er7 | GGA-PBE | relaxed

Summary:
The total moment comes out at 0.0 Bohr magnetons per cell. Its crystal system is cubic. The formation energy comes out at 0.229 eV per atom.

Cell: 11.1756 11.1756 11.1756 Å, 60.00 60.00 60.00°
Element x y z (fractional)
Tb 0.1253 0.1253 0.1253
Tb 0.6515 0.6515 0.6515
Er 0.0000 0.0000 0.0000
Tb 0.6242 0.1253 0.1253
Er 0.5000 0.5000 0.0000
Nd 0.2748 0.7252 0.2748
Tb 0.1253 0.1253 0.6242
Tb 0.8747 0.8747 0.8747
Er 0.0000 0.0000 0.5000
Tb 0.8747 0.8747 0.3758
Nd 0.2748 0.7252 0.7252
Tb 0.1253 0.6242 0.1253
Er 0.0000 0.5000 0.0000
Tb 0.0454 0.6515 0.6515
Tb 0.6515 0.6515 0.0454
Nd 0.7252 0.2748 0.7252
Tb 0.9546 0.3485 0.3485
Nd 0.2748 0.2748 0.7252
Er 0.0000 0.5000 0.5000
Nd 0.7252 0.7252 0.2748
Er 0.5000 0.0000 0.5000
Tb 0.3485 0.3485 0.9546
Tb 0.3758 0.8747 0.8747
Er 0.5000 0.0000 0.0000
Tb 0.3485 0.3485 0.3485
Nd 0.7252 0.2748 0.2748
Tb 0.3485 0.9546 0.3485
Tb 0.6515 0.0454 0.6515
Tb 0.8747 0.3758 0.8747


[2]
SmTm3Sc6 | GGA-PBE | relaxed

Summary:
For the energy above the most stable polymorph in this dataset, the calculation gives 0.00 eV per formula unit. The total moment comes out at 0.0 Bohr magnetons per cell. Its crystal system is orthorhombic. The formation energy comes out at 0.155 eV per atom.

Cell: 5.8393 10.3423 10.3423 Å, 119.41 90.00 90.00°
Element x y z (fractional)
Sc 0.5162 0.2794 0.3847
Sc 0.3611 0.5458 0.9758
Tm 0.9671 0.7188 0.9274
Sm 0.1708 0.2118 0.7882
Sc 0.8611 0.4542 0.0242
Sc 0.0162 0.3847 0.2794
Tm 0.5644 0.6042 0.3958
Sc 0.3611 0.0242 0.4542
Tm 0.9671 0.0726 0.2812
Sc 0.6339 0.2916 0.7084
Tm 0.0644 0.3958 0.6042
Tm 0.4671 0.9274 0.7188
Tm 0.4671 0.2812 0.0726
Sc 0.5162 0.6153 0.7206
Sc 0.1339 0.7084 0.2916
Sc 0.4272 0.9514 0.0486
Sc 0.9272 0.0486 0.9514
Sc 0.0162 0.7206 0.6153
Sm 0.6708 0.7882 0.2118
Sc 0.8611 0.9758 0.5458


[3]
LiCd2InAu2 | GGA-PBE | relaxed

Summary:
The total moment comes out at 0.0 Bohr magnetons per cell. Its crystal system is orthorhombic. The formation energy comes out at -0.276 eV per atom.

Cell: 4.5807 5.9617 8.8272 Å, 90.00 90.00 90.00°
Element x y z (fractional)
Cd 0.5000 0.5619 0.9644
Au 0.0000 0.7910 0.1466
Li 0.0000 0.9669 0.4707
Cd 0.0000 0.8078 0.8098
Au 0.5000 0.2171 0.3677
Au 0.5000 0.7171 0.6323
Cd 0.5000 0.0619 0.0356
In 0.5000 0.2009 0.6794
Li 0.0000 0.4669 0.5293
In 0.5000 0.7009 0.3206
Cd 0.0000 0.3078 0.1902
Au 0.0000 0.2910 0.8534


[4]
MnNbCoHSe | GGA-PBE | relaxed

Summary:
For the energy above the most stable polymorph in this dataset, the calculation gives 0.26 eV per formula unit. The total moment comes out at 3.9 Bohr magnetons per cell. Its crystal system is orthorhombic.

Cell: 3.4394 3.1839 11.3917 Å, 90.00 90.00 90.00°
Last column: magnetic moment on the atom in μB.
Element x y z (fractional)
Nb 0.5000 0.0000 0.9519  -0.29
Nb 0.5000 0.5000 0.4519  -0.29
Se 0.0000 0.0000 0.1256  -0.04
Mn 0.5000 0.5000 0.2037  2.85
Mn 0.5000 0.0000 0.7038  2.85
Se 0.0000 0.5000 0.6256  -0.04
H 0.5000 0.0000 0.3387  0.00
Co 0.0000 0.5000 0.8325  -0.58
Co 0.0000 0.0000 0.3325  -0.58
H 0.5000 0.5000 0.8387  0.00


[5]
Ac8RuRh5 | GGA-PBE | relaxed

Summary:
The total moment comes out at 0.0 Bohr magnetons per cell. Its crystal system is tetragonal. The formation energy comes out at -0.538 eV per atom.

Cell: 8.0674 8.0674 8.0674 Å, 109.60 109.21 109.60°
Element x y z (fractional)
Rh 0.8763 0.8698 0.2479
Rh 0.3782 0.1302 0.0065
Rh 0.5000 0.0000 0.5000
Ac 0.1259 0.7482 0.4880
Ac 0.6222 0.3621 0.8741
Ac 0.1251 0.7479 0.9839
Ac 0.7399 0.2518 0.3778
Rh 0.9935 0.3717 0.1237
Ac 0.2361 0.2521 0.3772
Rh 0.7521 0.6283 0.6218
Ac 0.6228 0.8589 0.8749
Ac 0.5120 0.6379 0.2601
Ru 0.2500 0.5000 0.7500
Ac 0.0161 0.1411 0.7639


[6]
MgNbHg3 | GGA-PBE | relaxed

Summary:
For the energy above the most stable polymorph in this dataset, the calculation gives 0.00 eV per formula unit. The total moment comes out at 1.1 Bohr magnetons per cell. Its crystal system is cubic. The formation energy comes out at 0.771 eV per atom.

Cell: 5.4171 5.4171 5.4171 Å, 90.00 90.00 90.00°
Last column: magnetic moment on the atom in μB.
Element x y z (fractional)
Hg 0.0000 0.0000 0.5000  0.04
Nb 0.0000 0.0000 0.0000  0.69
Mg 0.5000 0.5000 0.5000  -0.01
Hg 0.5000 0.0000 0.0000  0.03
Hg 0.0000 0.5000 0.0000  0.04


[7]
LiSc2Ti | GGA-PBE | relaxed

Summary:
The total moment comes out at 0.0 Bohr magnetons per cell. Its crystal system is trigonal. The formation energy comes out at 0.134 eV per atom.

Cell: 3.1074 3.1074 10.5347 Å, 81.52 81.52 59.99°
Element x y z (fractional)
Ti 0.6665 0.6665 0.0004
Sc 0.0768 0.0768 0.7701
Sc 0.2564 0.2564 0.2304
Li 0.5003 0.5003 0.4991


[8]
PrBrO | GGA-PBE | relaxed

Summary:
The total moment comes out at 0.0 Bohr magnetons per cell. Its crystal system is tetragonal. The calculation puts the formation energy without anion corrections at -274.6 kJ/mol of atoms.

Cell: 4.0484 4.0484 8.7694 Å, 90.00 90.00 90.00°
Element x y z (fractional)
Br 0.5000 0.0000 0.6734
Br 0.0000 0.5000 0.3266
O 0.0000 0.0000 0.0000
O 0.5000 0.5000 0.0000
Pr 0.0000 0.5000 0.8613
Pr 0.5000 0.0000 0.1387